Density functional theory data (PBE) for an optimized crystal structure of BaGaTeN2.

Cell: 4.559 4.559 5.469 Å, 90.00 90.00 90.00°
Fractional coordinates of all 5 atoms:
Ba  0.000  0.000  0.000
Ga  0.500  0.500  0.500
Te  0.500  0.500  0.000
N  0.000  0.500  0.500
N  0.500  0.000  0.500

Computed properties:
The total DFT energy (no corrections) is -4.3082 eV per atom. For the raw formation energy, the calculation gives 0.640 eV per atom.

***

Density functional theory data (PBE) for an optimized crystal structure of Er5Mg4Zr.

Cell: 3.528 3.528 21.570 Å, 90.00 90.00 90.00°
Fractional coordinates of all 10 atoms:
Er  0.000  0.000  0.000
Er  0.000  0.000  0.193
Er  0.000  0.000  0.399
Er  0.000  0.000  0.601
Er  0.000  0.000  0.807
Mg  0.500  0.500  0.097
Mg  0.500  0.500  0.293
Mg  0.500  0.500  0.707
Mg  0.500  0.500  0.903
Zr  0.500  0.500  0.500

Computed properties:
The total DFT energy (no corrections) is -3.8076 eV per atom. As for the energy of formation from the pure elements: -0.034 eV per atom.

***

Density functional theory data (PBE) for an optimized crystal structure of Ce6TlBi5.

Cell: 7.947 7.947 7.929 Å, 99.64 99.64 120.04°
Fractional coordinates of all 12 atoms:
Ce  0.082  0.415  0.248
Ce  0.249  0.249  0.750
Ce  0.415  0.082  0.248
Ce  0.585  0.918  0.752
Ce  0.751  0.751  0.250
Ce  0.918  0.585  0.752
Tl  0.000  0.000  0.000
Bi  0.169  0.831  0.500
Bi  0.334  0.666  0.000
Bi  0.500  0.500  0.500
Bi  0.666  0.334  0.000
Bi  0.831  0.169  0.500

Computed properties:
The total DFT energy (no corrections) is -5.4253 eV per atom. As for the energy of formation from the pure elements: -0.644 eV per atom.